# 1
Computed, not measured: a relaxed Ba4BeW crystal at the PBE-GGA level of DFT.

Unit cell a=6.9977 b=6.9977 c=6.9977 alpha=60.00 beta=60.00 gamma=60.00
Closest atoms and distances in Å follow each position.
Element x y z (fractional)
Ba (0.3748, 0.3748, 0.3748)  6 Ba 3.49-3.50
Be (0.7500, 0.7500, 0.7500)  12 Ba 4.10, 4 W 4.29
Ba (0.8755, 0.3748, 0.3748)  6 Ba 3.49-3.50
Ba (0.3748, 0.8755, 0.3748)  6 Ba 3.49-3.50
W (0.0000, 0.0000, 0.0000)  12 Ba 4.10, 4 Be 4.29
Ba (0.3748, 0.3748, 0.8755)  6 Ba 3.49-3.50

Calculated values
Space group: No. 216
ΔE_f, eV/f.u.: 9.7
Total magnetization, μB per cell: 3.13

---

# 2
Computed, not measured: a relaxed BaBeW crystal at the PBE-GGA level of DFT.

Unit cell a=6.3764 b=6.3764 c=6.3764 alpha=149.59 beta=149.58 gamma=43.55
Closest atoms and distances in Å follow each position.
Element x y z (fractional)
Ba (0.9961, 0.9961, 0.0000)  1 Be 3.10, 1 W 3.24, 4 Ba 3.34-3.35
Be (0.7345, 0.7345, 0.0000)  4 W 2.40
W (0.2694, 0.2694, 0.0000)  4 Be 2.40

Calculated values
Relative energy among the computed polymorphs, meV per atom: 0
Space group: No. 107
ΔE_f, eV/f.u.: 2.8
Total magnetization, μB per cell: 0.00

---

# 3
Computed, not measured: a relaxed BaBe3W crystal at the PBE-GGA level of DFT.

Unit cell a=4.5731 b=4.5731 c=4.5731 alpha=90.00 beta=90.00 gamma=90.00
Closest atoms and distances in Å follow each position.
Element x y z (fractional)
Ba (0.0000, 0.0000, 0.0000)  6 Be 2.29
Be (0.0000, 0.5000, 0.0000)  2 Ba 2.29
Be (0.5000, 0.0000, 0.0000)  2 Ba 2.29
W (0.5000, 0.5000, 0.5000)  12 Be 3.23
Be (0.0000, 0.0000, 0.5000)  2 Ba 2.29

Calculated values
Relative energy among the computed polymorphs, meV per atom: 2107
Space group: No. 221
ΔE_f, eV/f.u.: 14.9
Total magnetization, μB per cell: 0.00